<a>
Sr3HfCo | GGA-PBE | optimized geometry

Lattice parameters (Å, degrees): 6.1161 6.1161 6.1161 90.00 90.00 90.00
Element x y z (fractional)
Sr 0.0000 0.0000 0.5000
Sr 0.0000 0.5000 0.0000
Sr 0.5000 0.0000 0.0000
Hf 0.0000 0.0000 0.0000
Co 0.5000 0.5000 0.5000

SG = No. 221
crystal system = cubic
magnetic moment = 0.888 μB per atom


<b>
Sr3HfCo | GGA-PBE | optimized geometry

Lattice parameters (Å, degrees): 5.6377 5.6377 5.6377 90.00 90.00 90.00
Element x y z (fractional)
Sr 0.0000 0.0000 0.5000
Sr 0.0000 0.5000 0.0000
Sr 0.5000 0.0000 0.0000
Hf 0.5000 0.5000 0.5000
Co 0.0000 0.0000 0.0000

SG = No. 221
crystal system = cubic
magnetic moment = 0.173 μB per atom


It is <a> that is the least stable of them.


<a>
SrHf3Co | GGA-PBE | optimized geometry

Lattice parameters (Å, degrees): 5.0097 5.0097 5.0097 90.00 90.00 90.00
Element x y z (fractional)
Sr 0.0000 0.0000 0.0000
Hf 0.0000 0.0000 0.5000
Hf 0.0000 0.5000 0.0000
Hf 0.5000 0.0000 0.0000
Co 0.5000 0.5000 0.5000

SG = No. 221
crystal system = cubic
magnetic moment = 0.000 μB per atom


<b>
SrHf3Co | GGA-PBE | optimized geometry

Lattice parameters (Å, degrees): 4.9694 4.9694 4.9694 90.00 90.00 90.00
Element x y z (fractional)
Sr 0.0000 0.0000 0.0000
Hf 0.0000 0.5000 0.5000
Hf 0.5000 0.0000 0.5000
Hf 0.5000 0.5000 0.0000
Co 0.5000 0.5000 0.5000

SG = No. 221
crystal system = cubic
magnetic moment = 0.000 μB per atom


It is <a> that is the least stable of them.


<a>
SrHfCo3 | GGA-PBE | optimized geometry

Lattice parameters (Å, degrees): 4.7124 4.7124 4.7124 90.00 90.00 90.00
Element x y z (fractional)
Sr 0.0000 0.0000 0.0000
Hf 0.5000 0.5000 0.5000
Co 0.0000 0.5000 0.5000
Co 0.5000 0.0000 0.5000
Co 0.5000 0.5000 0.0000

SG = No. 221
crystal system = cubic
magnetic moment = 0.294 μB per atom


<b>
SrHfCo3 | GGA-PBE | optimized geometry

Lattice parameters (Å, degrees): 4.5902 4.5902 4.5902 90.00 90.00 90.00
Element x y z (fractional)
Sr 0.0000 0.0000 0.0000
Hf 0.5000 0.5000 0.5000
Co 0.0000 0.0000 0.5000
Co 0.0000 0.5000 0.0000
Co 0.5000 0.0000 0.0000

SG = No. 221
crystal system = cubic
magnetic moment = 0.619 μB per atom


It is <b> that is the least stable of them.


<a>
HfTaCo2 | GGA-PBE | optimized geometry

Lattice parameters (Å, degrees): 4.7885 4.9492 12.0446 90.00 90.00 90.00
Element x y z (fractional)
Hf 0.2500 0.0000 0.0706
Hf 0.2500 0.5000 0.4012
Hf 0.7500 0.0000 0.9294
Hf 0.7500 0.5000 0.5988
Ta 0.2500 0.0000 0.7860
Ta 0.2500 0.5000 0.8216
Ta 0.7500 0.0000 0.2140
Ta 0.7500 0.5000 0.1784
Co 0.0000 0.0000 0.5000
Co 0.0000 0.5000 0.0000
Co 0.2500 0.2714 0.6198
Co 0.2500 0.7286 0.6198
Co 0.5000 0.0000 0.5000
Co 0.5000 0.5000 0.0000
Co 0.7500 0.2714 0.3802
Co 0.7500 0.7286 0.3802

SG = No. 51
crystal system = orthorhombic
magnetic moment = 0.299 μB per atom


<b>
HfTaCo2 | GGA-PBE | optimized geometry

Lattice parameters (Å, degrees): 3.0399 3.0399 6.4967 90.00 90.00 90.00
Element x y z (fractional)
Hf 0.0000 0.0000 0.0000
Ta 0.0000 0.0000 0.5000
Co 0.5000 0.5000 0.2764
Co 0.5000 0.5000 0.7236

SG = No. 123
crystal system = tetragonal
magnetic moment = 0.000 μB per atom


It is <a> that is the least stable of them.


<a>
HfTaCo2 | GGA-PBE | optimized geometry

Lattice parameters (Å, degrees): 5.2213 4.1101 6.0979 90.00 110.81 90.00
Element x y z (fractional)
Hf 0.1758 0.2500 0.4021
Hf 0.8242 0.7500 0.5979
Ta 0.3612 0.7500 0.1124
Ta 0.6388 0.2500 0.8876
Co 0.1219 0.2500 0.8894
Co 0.3618 0.7500 0.7131
Co 0.6382 0.2500 0.2869
Co 0.8781 0.7500 0.1106

SG = No. 11
crystal system = monoclinic
magnetic moment = 0.000 μB per atom


<b>
HfTaCo2 | GGA-PBE | optimized geometry

Lattice parameters (Å, degrees): 6.7532 6.7532 5.5755 90.00 90.00 90.00
Element x y z (fractional)
Hf 0.0000 0.0000 0.0000
Hf 0.0000 0.5000 0.2500
Hf 0.5000 0.0000 0.7500
Hf 0.5000 0.5000 0.5000
Ta 0.0000 0.0000 0.5000
Ta 0.0000 0.5000 0.7500
Ta 0.5000 0.0000 0.2500
Ta 0.5000 0.5000 0.0000
Co 0.2342 0.2500 0.6250
Co 0.2500 0.7342 0.8750
Co 0.2500 0.7658 0.3750
Co 0.2658 0.2500 0.1250
Co 0.7342 0.7500 0.1250
Co 0.7500 0.2342 0.3750
Co 0.7500 0.2658 0.8750
Co 0.7658 0.7500 0.6250

SG = No. 122
crystal system = tetragonal
magnetic moment = 0.000 μB per atom


<c>
HfTaCo2 | GGA-PBE | optimized geometry

Lattice parameters (Å, degrees): 6.2007 6.2007 6.2007 90.00 90.00 90.00
Element x y z (fractional)
Hf 0.0000 0.0000 0.0000
Hf 0.0000 0.5000 0.5000
Hf 0.5000 0.0000 0.5000
Hf 0.5000 0.5000 0.0000
Ta 0.0000 0.0000 0.5000
Ta 0.0000 0.5000 0.0000
Ta 0.5000 0.0000 0.0000
Ta 0.5000 0.5000 0.5000
Co 0.2500 0.2500 0.2500
Co 0.2500 0.2500 0.7500
Co 0.2500 0.7500 0.2500
Co 0.2500 0.7500 0.7500
Co 0.7500 0.2500 0.2500
Co 0.7500 0.2500 0.7500
Co 0.7500 0.7500 0.2500
Co 0.7500 0.7500 0.7500

SG = No. 225
crystal system = cubic
magnetic moment = 0.000 μB per atom


It is <b> that is the least stable of them.


<a>
HfTa2Co2 | GGA-PBE | optimized geometry

Lattice parameters (Å, degrees): 4.1764 4.1764 9.7235 90.00 90.00 90.00
Element x y z (fractional)
Hf 0.0000 0.0000 0.0000
Hf 0.5000 0.5000 0.5000
Ta 0.0000 0.5000 0.2500
Ta 0.0000 0.5000 0.7500
Ta 0.5000 0.0000 0.2500
Ta 0.5000 0.0000 0.7500
Co 0.0000 0.0000 0.3839
Co 0.0000 0.0000 0.6161
Co 0.5000 0.5000 0.1161
Co 0.5000 0.5000 0.8839

SG = No. 139
crystal system = tetragonal
magnetic moment = 0.000 μB per atom


<b>
HfTa2Co2 | GGA-PBE | optimized geometry

Lattice parameters (Å, degrees): 7.1217 7.1217 3.1034 90.00 90.00 90.00
Element x y z (fractional)
Hf 0.0000 0.0000 0.0000
Hf 0.5000 0.5000 0.0000
Ta 0.1680 0.3320 0.5000
Ta 0.3320 0.8320 0.5000
Ta 0.6680 0.1680 0.5000
Ta 0.8320 0.6680 0.5000
Co 0.1260 0.6260 0.0000
Co 0.3740 0.1260 0.0000
Co 0.6260 0.8740 0.0000
Co 0.8740 0.3740 0.0000

SG = No. 127
crystal system = tetragonal
magnetic moment = 0.000 μB per atom


<c>
HfTa2Co2 | GGA-PBE | optimized geometry

Lattice parameters (Å, degrees): 3.8101 3.8101 11.7740 90.00 90.00 90.00
Element x y z (fractional)
Hf 0.0000 0.0000 0.0000
Hf 0.5000 0.5000 0.5000
Ta 0.0000 0.0000 0.3799
Ta 0.0000 0.0000 0.6201
Ta 0.5000 0.5000 0.1201
Ta 0.5000 0.5000 0.8799
Co 0.0000 0.5000 0.2500
Co 0.0000 0.5000 0.7500
Co 0.5000 0.0000 0.2500
Co 0.5000 0.0000 0.7500

SG = No. 139
crystal system = tetragonal
magnetic moment = 0.000 μB per atom


<d>
HfTa2Co2 | GGA-PBE | optimized geometry

Lattice parameters (Å, degrees): 7.5157 7.5157 2.8049 90.00 90.00 90.00
Element x y z (fractional)
Hf 0.0000 0.0000 0.0000
Hf 0.5000 0.5000 0.0000
Ta 0.1506 0.3494 0.0000
Ta 0.3494 0.8494 0.0000
Ta 0.6506 0.1506 0.0000
Ta 0.8494 0.6506 0.0000
Co 0.1429 0.6429 0.5000
Co 0.3571 0.1429 0.5000
Co 0.6429 0.8571 0.5000
Co 0.8571 0.3571 0.5000

SG = No. 127
crystal system = tetragonal
magnetic moment = 0.000 μB per atom


It is <c> that is the least stable of them.


<a>
HfTa2Co | GGA-PBE | optimized geometry

Lattice parameters (Å, degrees): 6.4419 6.4419 6.4419 90.00 90.00 90.00
Element x y z (fractional)
Hf 0.0000 0.0000 0.0000
Hf 0.0000 0.5000 0.5000
Hf 0.5000 0.0000 0.5000
Hf 0.5000 0.5000 0.0000
Ta 0.2500 0.2500 0.2500
Ta 0.2500 0.2500 0.7500
Ta 0.2500 0.7500 0.2500
Ta 0.2500 0.7500 0.7500
Ta 0.7500 0.2500 0.2500
Ta 0.7500 0.2500 0.7500
Ta 0.7500 0.7500 0.2500
Ta 0.7500 0.7500 0.7500
Co 0.0000 0.0000 0.5000
Co 0.0000 0.5000 0.0000
Co 0.5000 0.0000 0.0000
Co 0.5000 0.5000 0.5000

SG = No. 225
crystal system = cubic
magnetic moment = 0.000 μB per atom


<b>
HfTa2Co | GGA-PBE | optimized geometry

Lattice parameters (Å, degrees): 3.7849 3.7849 20.3158 90.00 90.00 90.00
Element x y z (fractional)
Hf 0.0000 0.0000 0.0000
Hf 0.0000 0.5000 0.2500
Hf 0.5000 0.0000 0.7500
Hf 0.5000 0.5000 0.5000
Ta 0.2466 0.2500 0.6250
Ta 0.2500 0.7466 0.8750
Ta 0.2500 0.7534 0.3750
Ta 0.2534 0.2500 0.1250
Ta 0.7466 0.7500 0.1250
Ta 0.7500 0.2466 0.3750
Ta 0.7500 0.2534 0.8750
Ta 0.7534 0.7500 0.6250
Co 0.0000 0.0000 0.5000
Co 0.0000 0.5000 0.7500
Co 0.5000 0.0000 0.2500
Co 0.5000 0.5000 0.0000

SG = No. 122
crystal system = tetragonal
magnetic moment = 0.000 μB per atom


It is <b> that is the least stable of them.


<a>
Hf2TaCo2 | GGA-PBE | optimized geometry

Lattice parameters (Å, degrees): 3.2118 3.2118 16.8920 90.00 90.00 90.00
Element x y z (fractional)
Hf 0.0000 0.0000 0.1215
Hf 0.0000 0.0000 0.8785
Hf 0.5000 0.5000 0.3785
Hf 0.5000 0.5000 0.6215
Ta 0.0000 0.0000 0.5000
Ta 0.5000 0.5000 0.0000
Co 0.0000 0.5000 0.2500
Co 0.0000 0.5000 0.7500
Co 0.5000 0.0000 0.2500
Co 0.5000 0.0000 0.7500

SG = No. 139
crystal system = tetragonal
magnetic moment = 0.000 μB per atom


<b>
Hf2TaCo2 | GGA-PBE | optimized geometry

Lattice parameters (Å, degrees): 7.0292 7.0292 3.3083 90.00 90.00 90.00
Element x y z (fractional)
Hf 0.1691 0.3309 0.0000
Hf 0.3309 0.8309 0.0000
Hf 0.6691 0.1691 0.0000
Hf 0.8309 0.6691 0.0000
Ta 0.0000 0.0000 0.5000
Ta 0.5000 0.5000 0.5000
Co 0.1286 0.6286 0.5000
Co 0.3714 0.1286 0.5000
Co 0.6286 0.8714 0.5000
Co 0.8714 0.3714 0.5000

SG = No. 127
crystal system = tetragonal
magnetic moment = 0.000 μB per atom


<c>
Hf2TaCo2 | GGA-PBE | optimized geometry

Lattice parameters (Å, degrees): 9.0214 5.2957 3.8724 90.00 115.27 90.00
Element x y z (fractional)
Hf 0.2017 0.0000 0.2015
Hf 0.2983 0.5000 0.7985
Hf 0.7017 0.5000 0.2015
Hf 0.7983 0.0000 0.7985
Ta 0.0000 0.5000 0.0000
Ta 0.5000 0.0000 0.0000
Co 0.0000 0.2268 0.5000
Co 0.0000 0.7732 0.5000
Co 0.5000 0.2732 0.5000
Co 0.5000 0.7268 0.5000

SG = No. 12
crystal system = monoclinic
magnetic moment = 0.000 μB per atom


It is <a> that is the least stable of them.